Below is a geometry-optimized Tb7Nd4Y structure, with properties calculated at the PBE level.

The structure belongs to space group C2/m (No. 12); the cell edges are 12.150, 5.974 and 12.856 Å and the angles 90.00°, 118.02° and 90.00°. Symmetry generates all atoms from Tb at (0.000, 0.000, 0.000), Tb at (0.135, 0.500, 0.503), Tb at (0.210, 0.000, 0.923), Tb at (0.249, 0.500, 0.316), Nd at (0.058, 0.000, 0.329), Nd at (0.138, 0.500, 0.778) and Y at (0.000, 0.500, 0.000).

The final energy comes out at -4.566 eV per atom. Its density of states at the Fermi level is 39.87 states/eV/cell. The density comes out at 7.17 g/cm³. As for the formation energy: 263 meV per atom.

***

Below is a geometry-optimized TbNd8Y2 structure, with properties calculated at the PBE level.

The structure belongs to space group C2/m (No. 12); the cell edges are 18.603, 5.166 and 8.164 Å and the angles 90.00°, 105.22° and 90.00°. Symmetry generates all atoms from Tb at (0.000, 0.000, 0.000), Nd at (0.046, 0.500, 0.728), Nd at (0.091, 0.000, 0.453), Nd at (0.137, 0.500, 0.183), Nd at (0.182, 0.000, 0.910) and Y at (0.227, 0.500, 0.635).

The final energy comes out at -5.050 eV per atom. Its density of states at the Fermi level is 33.98 states/eV/cell. The density comes out at 6.54 g/cm³. As for the formation energy: 14 meV per atom.

***

Below is a geometry-optimized Tb3Nd4Y5 structure, with properties calculated at the PBE level.

The structure belongs to space group P-1 (No. 2); the cell edges are 6.248, 7.207 and 8.824 Å and the angles 89.86°, 89.97° and 89.93°. Symmetry generates all atoms from Tb at (0.000, 0.000, 0.000), Tb at (0.167, 0.248, 0.669), Nd at (0.166, 0.751, 0.669), Nd at (0.332, 0.500, 0.333), Y at (0.000, 0.500, 0.000), Y at (0.333, 0.000, 0.332) and Y at (0.499, 0.248, 0.000).

The final energy comes out at -5.425 eV per atom. Its density of states at the Fermi level is 15.83 states/eV/cell. The density comes out at 6.26 g/cm³. As for the formation energy: 15 meV per atom.

***

Below is a geometry-optimized TbNd12Y7 structure, with properties calculated at the PBE level.

The structure belongs to space group R-3 (No. 148, hexagonal axes); the cell edges are 18.9317, 18.9317 and 6.8424 Å and the angles 90.00°, 90.00° and 120.00°. Symmetry generates all atoms from Tb at (0.0000, 0.0000, 0.0000), Nd at (0.0008, 0.7890, 0.2853), Nd at (0.0063, 0.4708, 0.7425), Y at (0.0000, 0.0000, 0.5000) and Y at (0.0070, 0.8524, 0.7772).

The final energy comes out at -5.074 eV per atom. Its density of states at the Fermi level is 82.26 states/eV/cell. The density comes out at 5.89 g/cm³. As for the formation energy: 281 meV per atom.

***

Below is a geometry-optimized Tb4NdY7 structure, with properties calculated at the PBE level.

The structure belongs to space group P-1 (No. 2); the cell edges are 6.548, 6.842 and 9.112 Å and the angles 85.94°, 76.76° and 82.12°. Symmetry generates all atoms from Tb at (0.139, 0.313, 0.285), Tb at (0.339, 0.884, 0.690), Nd at (0.500, 0.500, 0.000), Y at (0.015, 0.249, 0.950), Y at (0.180, 0.807, 0.362), Y at (0.311, 0.392, 0.613) and Y at (0.500, 0.000, 0.000).

The final energy comes out at -5.628 eV per atom. Its density of states at the Fermi level is 21.74 states/eV/cell. The density comes out at 5.92 g/cm³. As for the formation energy: 84 meV per atom.

***

Below is a geometry-optimized Tb5Nd5Y structure, with properties calculated at the PBE level.

The structure belongs to space group P-6m2 (No. 187); the cell edges are 6.1628, 6.1628 and 11.7227 Å and the angles 90.00°, 90.00° and 120.00°. Symmetry generates all atoms from Tb at (0.0000, 0.0000, 0.2346), Tb at (0.3347, 0.1673, 0.0000), Nd at (0.0000, 0.0000, 0.5000), Nd at (0.3333, 0.6667, 0.1827), Nd at (0.6667, 0.3333, 0.3447) and Y at (0.3333, 0.6667, 0.5000).

The final energy comes out at -4.574 eV per atom. Its density of states at the Fermi level is 19.93 states/eV/cell. The density comes out at 6.91 g/cm³. As for the formation energy: 285 meV per atom.

***

Below is a geometry-optimized Tb3Nd4Y structure, with properties calculated at the PBE level.

The structure belongs to space group Pmn2_1 (No. 31); the cell edges are 11.665, 7.352 and 6.345 Å and the angles 90.00°, 90.00° and 90.00°. Symmetry generates all atoms from Tb at (0.000, 0.122, 0.000), Tb at (0.250, 0.122, 0.333), Nd at (0.000, 0.373, 0.498), Nd at (0.000, 0.627, 0.999), Nd at (0.250, 0.372, 0.833) and Y at (0.000, 0.878, 0.500).

The final energy comes out at -4.901 eV per atom. Its density of states at the Fermi level is 29.29 states/eV/cell. The density comes out at 6.97 g/cm³. As for the formation energy: 27 meV per atom.

***

Below is a geometry-optimized TbNd2Y6 structure, with properties calculated at the PBE level.

The structure belongs to space group Ibam (No. 72); the cell edges are 9.846, 17.213 and 6.957 Å and the angles 90.00°, 90.00° and 90.00°. Symmetry generates all atoms from Tb at (0.000, 0.000, 0.250), Nd at (0.000, 0.333, 0.250), Y at (0.166, 0.172, 0.000), Y at (0.167, 0.160, 0.500) and Y at (0.169, 0.494, 0.500).

The final energy comes out at -5.815 eV per atom. Its density of states at the Fermi level is 60.82 states/eV/cell. The density comes out at 5.53 g/cm³. As for the formation energy: 68 meV per atom.

***

Below is a geometry-optimized Tb4Nd5Y2 structure, with properties calculated at the PBE level.

The structure belongs to space group C2/m (No. 12); the cell edges are 11.224, 7.381 and 9.354 Å and the angles 90.00°, 106.70° and 90.00°. Symmetry generates all atoms from Tb at (0.164, 0.000, 0.116), Tb at (0.197, 0.000, 0.497), Nd at (0.000, 0.500, 0.500), Nd at (0.068, 0.219, 0.767) and Y at (0.145, 0.500, 0.120).

The final energy comes out at -4.906 eV per atom. Its density of states at the Fermi level is 29.54 states/eV/cell. The density comes out at 6.87 g/cm³. As for the formation energy: 120 meV per atom.

***

Below is a geometry-optimized Tb5Nd3Y structure, with properties calculated at the PBE level.

The structure belongs to space group C2/c (No. 15); the cell edges are 20.337, 6.197 and 11.568 Å and the angles 90.00°, 121.94° and 90.00°. Symmetry generates all atoms from Tb at (0.000, 0.055, 0.250), Tb at (0.143, 0.193, 0.656), Tb at (0.177, 0.270, 0.026), Nd at (0.000, 0.500, 0.000), Nd at (0.180, 0.294, 0.338) and Y at (0.000, 0.435, 0.750).

The final energy comes out at -4.577 eV per atom. Its density of states at the Fermi level is 48.24 states/eV/cell. The density comes out at 7.07 g/cm³. As for the formation energy: 303 meV per atom.

***

Below is a geometry-optimized Tb4NdY15 structure, with properties calculated at the PBE level.

The structure belongs to space group P4/mmm (No. 123); the cell edges are 5.055, 5.055 and 25.268 Å and the angles 90.00°, 90.00° and 90.00°. Symmetry generates all atoms from Tb at (0.000, 0.000, 0.100), Tb at (0.000, 0.000, 0.299), Nd at (0.000, 0.000, 0.500), Y at (0.000, 0.500, 0.000), Y at (0.000, 0.500, 0.199), Y at (0.000, 0.500, 0.399), Y at (0.500, 0.500, 0.100), Y at (0.500, 0.500, 0.299) and Y at (0.500, 0.500, 0.500).

The final energy comes out at -5.990 eV per atom. Its density of states at the Fermi level is 28.58 states/eV/cell. The density comes out at 5.43 g/cm³. As for the formation energy: 22 meV per atom.

***

Below is a geometry-optimized Tb12Nd6Y structure, with properties calculated at the PBE level.

The structure belongs to space group R-3m (No. 166, hexagonal axes); the cell edges are 13.3428, 13.3428 and 12.7085 Å and the angles 90.00°, 90.00° and 120.00°. Symmetry generates all atoms from Tb at (0.0000, 0.2577, 0.0000), Tb at (0.0911, 0.1821, 0.7649), Nd at (0.0409, 0.5204, 0.1163) and Y at (0.0000, 0.0000, 0.5000).

The final energy comes out at -4.560 eV per atom. Its density of states at the Fermi level is 93.25 states/eV/cell. The density comes out at 7.28 g/cm³. As for the formation energy: 210 meV per atom.